1.
# Ce2TiZn2Pd5

A relaxed structure of Ce2TiZn2Pd5 (PBE, Alexandria via LeMat-Bulk).

Density   8955 kg/m3
Crystal system   tetragonal
ΔH_f (0 K)   -0.56 eV/atom

```
data_Ce2TiZn2Pd5
_symmetry_space_group_name_H-M 'P 4/m b m'
_symmetry_Int_Tables_number 127
_symmetry_space_group_name_Hall '-P 4 2ab'
_cell_length_a 10.024
_cell_length_b 10.024
_cell_length_c 3.658
_cell_angle_alpha 90.00
_cell_angle_beta 90.00
_cell_angle_gamma 90.00
loop_
_atom_site_label
_atom_site_fract_x
_atom_site_fract_y
_atom_site_fract_z
_atom_site_occupancy
Ce1 0.175 0.325 0.000 1
Ti1 0.000 0.000 0.000 1
Zn1 0.124 0.624 0.000 1
Pd1 0.000 0.500 0.500 1
Pd2 0.055 0.801 0.500 1
```



2.
# CeTl2Pd9

A relaxed structure of CeTl2Pd9 (PBE, Alexandria via LeMat-Bulk).

Density   11999 kg/m3
Crystal system   tetragonal
ΔH_f (0 K)   -0.43 eV/atom

```
data_CeTl2Pd9
_symmetry_space_group_name_H-M 'P 4/m m m'
_symmetry_Int_Tables_number 123
_symmetry_space_group_name_Hall '-P 4 2'
_cell_length_a 4.123
_cell_length_b 4.123
_cell_length_c 12.268
_cell_angle_alpha 90.00
_cell_angle_beta 90.00
_cell_angle_gamma 90.00
loop_
_atom_site_label
_atom_site_fract_x
_atom_site_fract_y
_atom_site_fract_z
_atom_site_occupancy
Ce1 0.000 0.000 0.000 1
Tl1 0.000 0.000 0.338 1
Pd1 0.000 0.500 0.166 1
Pd2 0.000 0.500 0.500 1
Pd3 0.500 0.500 0.000 1
Pd4 0.500 0.500 0.332 1
```



3.
# CeTlPd4

A relaxed structure of CeTlPd4 (PBE, Alexandria via LeMat-Bulk).

Density   11215 kg/m3
Crystal system   cubic
ΔH_f (0 K)   -0.57 eV/atom

```
data_CeTlPd4
_symmetry_space_group_name_H-M 'F -4 3 m'
_symmetry_Int_Tables_number 216
_symmetry_space_group_name_Hall 'F -4 2 3'
_cell_length_a 7.698
_cell_length_b 7.698
_cell_length_c 7.698
_cell_angle_alpha 90.00
_cell_angle_beta 90.00
_cell_angle_gamma 90.00
loop_
_atom_site_label
_atom_site_fract_x
_atom_site_fract_y
_atom_site_fract_z
_atom_site_occupancy
Ce1 0.000 0.000 0.000 1
Tl1 0.250 0.250 0.250 1
Pd1 0.125 0.125 0.625 1
```



4.
# CeTl2Pd8

A relaxed structure of CeTl2Pd8 (PBE, Alexandria via LeMat-Bulk).

Energy above the lowest structure with this stoichiometry   52.6 meV per atom
Density   11400 kg/m3
Crystal system   monoclinic
ΔH_f (0 K)   -0.31 eV/atom

```
data_CeTl2Pd8
_symmetry_space_group_name_H-M 'C 1 2/m 1'
_symmetry_Int_Tables_number 12
_cell_length_a 7.870
_cell_length_b 13.078
_cell_length_c 5.326
_cell_angle_alpha 90.00
_cell_angle_beta 131.91
_cell_angle_gamma 90.00
loop_
_symmetry_equiv_pos_as_xyz
'x,y,z'
'-x,-y,-z'
'-x,y,-z'
'x,-y,z'
'x+1/2,y+1/2,z'
'-x+1/2,-y+1/2,-z'
'-x+1/2,y+1/2,-z'
'x+1/2,-y+1/2,z'
loop_
_atom_site_label
_atom_site_fract_x
_atom_site_fract_y
_atom_site_fract_z
_atom_site_occupancy
Ce1 0.000 0.000 0.000 1
Tl1 0.000 0.306 0.500 1
Pd1 0.000 0.220 0.000 1
Pd2 0.089 0.500 0.825 1
Pd3 0.212 0.112 0.609 1
```



5.
# CeTl2Pd8

A relaxed structure of CeTl2Pd8 (PBE, Alexandria via LeMat-Bulk).

Energy above the lowest structure with this stoichiometry   0.0 meV per atom
Density   11934 kg/m3
Crystal system   triclinic
ΔH_f (0 K)   -0.36 eV/atom

```
data_CeTl2Pd8
_symmetry_space_group_name_H-M 'P -1'
_symmetry_Int_Tables_number 2
_cell_length_a 5.036
_cell_length_b 5.095
_cell_length_c 7.737
_cell_angle_alpha 93.20
_cell_angle_beta 96.30
_cell_angle_gamma 98.08
loop_
_symmetry_equiv_pos_as_xyz
'x,y,z'
'-x,-y,-z'
loop_
_atom_site_label
_atom_site_fract_x
_atom_site_fract_y
_atom_site_fract_z
_atom_site_occupancy
Ce1 0.000 0.000 0.000 1
Tl1 0.190 0.404 0.711 1
Pd1 0.097 0.160 0.359 1
Pd2 0.275 0.535 0.094 1
Pd3 0.366 0.736 0.453 1
Pd4 0.451 0.931 0.816 1
```



6.
# CeTlPd

A relaxed structure of CeTlPd (PBE, Alexandria via LeMat-Bulk).

Energy above the lowest structure with this stoichiometry   24.2 meV per atom
Density   10423 kg/m3
Crystal system   orthorhombic
ΔH_f (0 K)   -0.55 eV/atom

```
data_CeTlPd
_symmetry_space_group_name_H-M 'P m m a'
_symmetry_Int_Tables_number 51
_cell_length_a 13.988
_cell_length_b 3.849
_cell_length_c 8.006
_cell_angle_alpha 90.00
_cell_angle_beta 90.00
_cell_angle_gamma 90.00
loop_
_symmetry_equiv_pos_as_xyz
'x,y,z'
'-x,-y,-z'
'-x+1/2,-y,z'
'x+1/2,y,-z'
'x+1/2,-y,-z'
'-x+1/2,y,z'
'-x,y,-z'
'x,-y,z'
loop_
_atom_site_label
_atom_site_fract_x
_atom_site_fract_y
_atom_site_fract_z
_atom_site_occupancy
Ce1 0.049 0.000 0.228 1
Ce2 0.250 0.000 0.845 1
Tl1 0.114 0.500 0.571 1
Tl2 0.250 0.500 0.183 1
Pd1 0.095 0.500 0.936 1
Pd2 0.250 0.000 0.449 1
```



7.
# CeTlPd

A relaxed structure of CeTlPd (PBE, Alexandria via LeMat-Bulk).

Energy above the lowest structure with this stoichiometry   171.3 meV per atom
Density   10696 kg/m3
Crystal system   tetragonal
ΔH_f (0 K)   -0.40 eV/atom

```
data_CeTlPd
_symmetry_space_group_name_H-M 'I 4 m m'
_symmetry_Int_Tables_number 107
_symmetry_space_group_name_Hall 'I 4 -2'
_cell_length_a 3.465
_cell_length_b 3.465
_cell_length_c 11.659
_cell_angle_alpha 90.00
_cell_angle_beta 90.00
_cell_angle_gamma 90.00
loop_
_atom_site_label
_atom_site_fract_x
_atom_site_fract_y
_atom_site_fract_z
_atom_site_occupancy
Ce1 0.000 0.000 0.000 1
Tl1 0.000 0.000 0.702 1
Pd1 0.000 0.000 0.349 1
```



8.
# CeTlPd2

A relaxed structure of CeTlPd2 (PBE, Alexandria via LeMat-Bulk).

Density   10811 kg/m3
Crystal system   tetragonal
ΔH_f (0 K)   -0.42 eV/atom

```
data_CeTlPd2
_symmetry_space_group_name_H-M 'P 4/m m m'
_symmetry_Int_Tables_number 123
_symmetry_space_group_name_Hall '-P 4 2'
_cell_length_a 4.815
_cell_length_b 4.815
_cell_length_c 3.693
_cell_angle_alpha 90.00
_cell_angle_beta 90.00
_cell_angle_gamma 90.00
loop_
_atom_site_label
_atom_site_fract_x
_atom_site_fract_y
_atom_site_fract_z
_atom_site_occupancy
Ce1 0.000 0.000 0.000 1
Tl1 0.500 0.500 0.000 1
Pd1 0.000 0.500 0.500 1
```



9.
# CeTlPd2

A relaxed structure of CeTlPd2 (PBE, Alexandria via LeMat-Bulk).

Density   10764 kg/m3
Crystal system   tetragonal
ΔH_f (0 K)   -0.43 eV/atom

```
data_CeTlPd2
_symmetry_space_group_name_H-M 'P 4/m m m'
_symmetry_Int_Tables_number 123
_symmetry_space_group_name_Hall '-P 4 2'
_cell_length_a 3.533
_cell_length_b 3.533
_cell_length_c 6.888
_cell_angle_alpha 90.00
_cell_angle_beta 90.00
_cell_angle_gamma 90.00
loop_
_atom_site_label
_atom_site_fract_x
_atom_site_fract_y
_atom_site_fract_z
_atom_site_occupancy
Ce1 0.000 0.000 0.000 1
Tl1 0.000 0.000 0.500 1
Pd1 0.500 0.500 0.251 1
```



10.
# CeTl2Pd7

A relaxed structure of CeTl2Pd7 (PBE, Alexandria via LeMat-Bulk).

Density   9342 kg/m3
Crystal system   orthorhombic
ΔH_f (0 K)   -0.08 eV/atom

```
data_CeTl2Pd7
_symmetry_space_group_name_H-M 'C m m m'
_symmetry_Int_Tables_number 65
_symmetry_space_group_name_Hall '-C 2 2'
_cell_length_a 7.438
_cell_length_b 14.167
_cell_length_c 4.365
_cell_angle_alpha 90.00
_cell_angle_beta 90.00
_cell_angle_gamma 90.00
loop_
_atom_site_label
_atom_site_fract_x
_atom_site_fract_y
_atom_site_fract_z
_atom_site_occupancy
Ce1 0.000 0.000 0.000 1
Tl1 0.000 0.304 0.500 1
Pd1 0.000 0.186 0.000 1
Pd2 0.000 0.500 0.500 1
Pd3 0.182 0.100 0.500 1
```



11.
# CeTlPd

A relaxed structure of CeTlPd (PBE, Alexandria via LeMat-Bulk).

Energy above the lowest structure with this stoichiometry   82.6 meV per atom
Density   10425 kg/m3
Crystal system   hexagonal
ΔH_f (0 K)   -0.49 eV/atom

```
data_CeTlPd
_symmetry_space_group_name_H-M 'P 63/m m c'
_symmetry_Int_Tables_number 194
_symmetry_space_group_name_Hall '-P 6c 2c'
_cell_length_a 5.1373
_cell_length_b 5.1373
_cell_length_c 6.2862
_cell_angle_alpha 90.00
_cell_angle_beta 90.00
_cell_angle_gamma 120.00
loop_
_atom_site_label
_atom_site_fract_x
_atom_site_fract_y
_atom_site_fract_z
_atom_site_occupancy
Ce1 0.3333 0.6667 0.2500 1
Tl1 0.0000 0.0000 0.0000 1
Pd1 0.3333 0.6667 0.7500 1
```



12.
# CeTlPd2

A relaxed structure of CeTlPd2 (PBE, Alexandria via LeMat-Bulk).

Density   10987 kg/m3
Crystal system   cubic
ΔH_f (0 K)   -0.54 eV/atom

```
data_CeTlPd2
_symmetry_space_group_name_H-M 'F m -3 m'
_symmetry_Int_Tables_number 225
_symmetry_space_group_name_Hall '-F 4 2 3'
_cell_length_a 6.958
_cell_length_b 6.958
_cell_length_c 6.958
_cell_angle_alpha 90.00
_cell_angle_beta 90.00
_cell_angle_gamma 90.00
loop_
_atom_site_label
_atom_site_fract_x
_atom_site_fract_y
_atom_site_fract_z
_atom_site_occupancy
Ce1 0.000 0.000 0.000 1
Tl1 0.000 0.000 0.500 1
Pd1 0.250 0.250 0.250 1
```



The lowest density belongs to which entry? Ce2TiZn2Pd5



Which value of density does entry 5 give? 11934 kg/m3



Repeat the eleventh record exactly.
# CeTlPd

A relaxed structure of CeTlPd (PBE, Alexandria via LeMat-Bulk).

Energy above the lowest structure with this stoichiometry   82.6 meV per atom
Density   10425 kg/m3
Crystal system   hexagonal
ΔH_f (0 K)   -0.49 eV/atom

```
data_CeTlPd
_symmetry_space_group_name_H-M 'P 63/m m c'
_symmetry_Int_Tables_number 194
_symmetry_space_group_name_Hall '-P 6c 2c'
_cell_length_a 5.1373
_cell_length_b 5.1373
_cell_length_c 6.2862
_cell_angle_alpha 90.00
_cell_angle_beta 90.00
_cell_angle_gamma 120.00
loop_
_atom_site_label
_atom_site_fract_x
_atom_site_fract_y
_atom_site_fract_z
_atom_site_occupancy
Ce1 0.3333 0.6667 0.2500 1
Tl1 0.0000 0.0000 0.0000 1
Pd1 0.3333 0.6667 0.7500 1
```